Entry 1:
The following is a DFT calculation (meta-GGA SCAN) of a PBEsol-optimized structure of LiSeBr2.

Calculated values
**Polymorph energy (0 for the lowest one)**: 316 meV per atom
**Raw total energy**: -15.60 eV per atom

Unit cell a=3.495 b=4.973 c=4.973 alpha=90.00 beta=90.00 gamma=90.00
Sites, in units of the cell vectors:
Br (0.000, 0.000, 0.500)
Br (0.000, 0.500, 0.000)
Se (0.500, 0.000, 0.000)
Li (0.500, 0.500, 0.500)

***

Entry 2:
The following is a DFT calculation (meta-GGA SCAN) of a PBEsol-optimized structure of LiSe2Br.

Calculated values
**Polymorph energy (0 for the lowest one)**: 707 meV per atom
**Raw total energy**: -15.48 eV per atom

Unit cell a=3.863 b=3.863 c=6.404 alpha=107.55 beta=107.55 gamma=90.00
Last column: magnetic moment on the atom in μB.
Sites, in units of the cell vectors:
Br (0.500, 0.500, 0.000)  -0.03
Se (0.000, 0.000, 0.000)  -0.06
Se (0.750, 0.250, 0.500)  -0.41
Li (0.250, 0.750, 0.500)  0.00

***

Entry 3:
The following is a DFT calculation (meta-GGA SCAN) of a PBEsol-optimized structure of LiTcSe2Br.

Calculated values
**Raw total energy**: -18.91 eV per atom

Unit cell a=4.621 b=4.621 c=4.767 alpha=90.00 beta=90.00 gamma=90.00
Last column: magnetic moment on the atom in μB.
Sites, in units of the cell vectors:
Se (0.000, 0.500, 0.000)  -0.13
Se (0.500, 0.000, 0.000)  -0.13
Tc (0.500, 0.500, 0.500)  4.13
Br (0.000, 0.000, 0.500)  0.00
Li (0.000, 0.000, 0.000)  0.00

***

Entry 4:
The following is a DFT calculation (meta-GGA SCAN) of a PBEsol-optimized structure of LiZnSe2Br.

Calculated values
**Raw total energy**: -15.38 eV per atom

Unit cell a=4.776 b=4.776 c=5.569 alpha=90.00 beta=90.00 gamma=90.00
Sites, in units of the cell vectors:
Zn (0.000, 0.000, 0.000)
Se (0.000, 0.500, 0.000)
Se (0.500, 0.000, 0.000)
Br (0.000, 0.000, 0.500)
Li (0.500, 0.500, 0.500)

***

Entry 5:
The following is a DFT calculation (meta-GGA SCAN) of a PBEsol-optimized structure of LiSiBr2.

Calculated values
**Polymorph energy (0 for the lowest one)**: 16 meV per atom
**Raw total energy**: -13.19 eV per atom

Unit cell a=3.532 b=3.532 c=8.018 alpha=77.28 beta=77.28 gamma=60.00
Sites, in units of the cell vectors:
Si (0.000, 0.000, 0.000)
Br (0.237, 0.237, 0.290)
Br (0.763, 0.763, 0.710)
Li (0.500, 0.500, 0.500)

***

Entry 6:
The following is a DFT calculation (meta-GGA SCAN) of a PBEsol-optimized structure of Li2SiBr.

Calculated values
**Polymorph energy (0 for the lowest one)**: 255 meV per atom
**Raw total energy**: -8.79 eV per atom

Unit cell a=3.184 b=4.742 c=4.738 alpha=90.00 beta=90.00 gamma=90.00
Sites, in units of the cell vectors:
Si (0.375, 0.625, 0.000)
Br (0.375, 0.125, 0.500)
Li (0.875, 0.125, 0.000)
Li (0.875, 0.625, 0.500)

***

Entry 7:
The following is a DFT calculation (meta-GGA SCAN) of a PBEsol-optimized structure of Li2SiBr.

Calculated values
**Polymorph energy (0 for the lowest one)**: 0 meV per atom
**Raw total energy**: -9.04 eV per atom

Unit cell a=3.309 b=3.309 c=7.919 alpha=77.94 beta=77.94 gamma=60.00
Sites, in units of the cell vectors:
Si (0.000, 0.000, 0.000)
Br (0.500, 0.500, 0.500)
Li (0.239, 0.239, 0.282)
Li (0.761, 0.761, 0.718)

***

Entry 8:
The following is a DFT calculation (meta-GGA SCAN) of a PBEsol-optimized structure of LiSiBr2.

Calculated values
**Polymorph energy (0 for the lowest one)**: 0 meV per atom
**Raw total energy**: -13.21 eV per atom

Unit cell a=3.564 b=3.564 c=7.868 alpha=90.00 beta=90.00 gamma=118.16
Sites, in units of the cell vectors:
Si (0.500, 0.500, 0.000)
Br (0.000, 0.000, 0.274)
Br (0.000, 0.000, 0.726)
Li (0.500, 0.500, 0.500)

***

Entry 9:
The following is a DFT calculation (meta-GGA SCAN) of a PBEsol-optimized structure of LiSiBr3.

Calculated values
**Raw total energy**: -14.38 eV per atom

Unit cell a=4.843 b=4.843 c=4.843 alpha=90.00 beta=90.00 gamma=90.00
Sites, in units of the cell vectors:
Si (0.500, 0.500, 0.500)
Br (0.000, 0.500, 0.000)
Br (0.000, 0.000, 0.500)
Br (0.500, 0.000, 0.000)
Li (0.000, 0.000, 0.000)

***

Entry 10:
The following is a DFT calculation (meta-GGA SCAN) of a PBEsol-optimized structure of LiSiBr2.

Calculated values
**Polymorph energy (0 for the lowest one)**: 279 meV per atom
**Raw total energy**: -12.93 eV per atom

Unit cell a=3.586 b=3.586 c=9.168 alpha=78.72 beta=78.72 gamma=60.00
Sites, in units of the cell vectors:
Si (0.500, 0.500, 0.500)
Br (0.913, 0.913, 0.260)
Br (0.087, 0.087, 0.740)
Li (0.000, 0.000, 0.000)

***

Entry 11:
The following is a DFT calculation (meta-GGA SCAN) of a PBEsol-optimized structure of LiSiBr2.

Calculated values
**Polymorph energy (0 for the lowest one)**: 29 meV per atom
**Raw total energy**: -13.18 eV per atom

Unit cell a=3.802 b=3.802 c=7.456 alpha=104.77 beta=104.77 gamma=90.00
Last column: magnetic moment on the atom in μB.
Sites, in units of the cell vectors:
Si (0.250, 0.750, 0.500)  -0.28
Br (0.000, 0.000, 0.000)  -0.04
Br (0.750, 0.250, 0.500)  -0.02
Li (0.500, 0.500, 0.000)  0.00

***

Entry 12:
The following is a DFT calculation (meta-GGA SCAN) of a PBEsol-optimized structure of Li2SiBr.

Calculated values
**Polymorph energy (0 for the lowest one)**: 173 meV per atom
**Raw total energy**: -8.87 eV per atom

Unit cell a=3.169 b=4.829 c=4.829 alpha=107.01 beta=90.03 gamma=90.03
Sites, in units of the cell vectors:
Si (0.500, 0.500, 0.500)
Br (0.500, 0.000, 0.000)
Li (0.000, 0.500, 0.000)
Li (0.000, 0.000, 0.500)

***

Entry 13:
The following is a DFT calculation (meta-GGA SCAN) of a PBEsol-optimized structure of Li2SiBr.

Calculated values
**Polymorph energy (0 for the lowest one)**: 50 meV per atom
**Raw total energy**: -8.99 eV per atom

Unit cell a=3.162 b=3.162 c=7.053 alpha=90.00 beta=89.96 gamma=90.00
Sites, in units of the cell vectors:
Si (0.500, 0.500, 0.000)
Br (0.500, 0.500, 0.500)
Li (0.000, 0.000, 0.733)
Li (0.000, 0.000, 0.267)

***

Entry 14:
The following is a DFT calculation (meta-GGA SCAN) of a PBEsol-optimized structure of SrLiBr2.

Calculated values
**Polymorph energy (0 for the lowest one)**: 10 meV per atom
**Raw total energy**: -17.24 eV per atom

Unit cell a=4.209 b=4.209 c=6.982 alpha=107.55 beta=107.55 gamma=90.00
Last column: magnetic moment on the atom in μB.
Sites, in units of the cell vectors:
Br (0.000, 0.000, 0.000)  0.02
Br (0.750, 0.250, 0.500)  0.01
Li (0.500, 0.500, 0.000)  0.03
Sr (0.250, 0.750, 0.500)  0.11

***

Entry 15:
The following is a DFT calculation (meta-GGA SCAN) of a PBEsol-optimized structure of SrLiBr2.

Calculated values
**Polymorph energy (0 for the lowest one)**: 0 meV per atom
**Raw total energy**: -17.25 eV per atom

Unit cell a=5.293 b=5.293 c=5.293 alpha=60.00 beta=60.00 gamma=60.00
Last column: magnetic moment on the atom in μB.
Sites, in units of the cell vectors:
Br (0.250, 0.250, 0.250)  0.03
Br (0.750, 0.750, 0.750)  0.03
Li (0.000, 0.000, 0.000)  0.04
Sr (0.500, 0.500, 0.500)  0.11

***

Entry 16:
The following is a DFT calculation (meta-GGA SCAN) of a PBEsol-optimized structure of Sr2LiBr.

Calculated values
**Raw total energy**: -17.08 eV per atom

Unit cell a=5.496 b=6.022 c=5.496 alpha=62.85 beta=90.00 gamma=117.15
Sites, in units of the cell vectors:
Br (0.500, 0.000, 0.500)
Li (0.000, 0.000, 0.000)
Sr (0.250, 0.500, 0.250)
Sr (0.750, 0.500, 0.750)

***

Entry 17:
The following is a DFT calculation (meta-GGA SCAN) of a PBEsol-optimized structure of Sr2LiBr2.

Calculated values
**Raw total energy**: -18.31 eV per atom

Unit cell a=6.232 b=6.232 c=6.232 alpha=89.90 beta=120.06 gamma=120.06
Last column: magnetic moment on the atom in μB.
Sites, in units of the cell vectors:
Sr (0.500, 0.750, 0.250)  0.15
Sr (0.500, 0.250, 0.750)  0.15
Br (0.000, 0.708, 0.708)  0.07
Br (0.000, 0.292, 0.292)  0.07
Li (0.000, 0.000, 0.000)  0.06

***

Entry 18:
The following is a DFT calculation (meta-GGA SCAN) of a PBEsol-optimized structure of LiTaBr.

Calculated values
**Polymorph energy (0 for the lowest one)**: 420 meV per atom
**Raw total energy**: -28.47 eV per atom

Unit cell a=4.216 b=4.216 c=4.216 alpha=60.00 beta=60.00 gamma=60.00
Sites, in units of the cell vectors:
Ta (0.500, 0.500, 0.500)
Br (0.750, 0.750, 0.750)
Li (0.000, 0.000, 0.000)

***

Entry 19:
The following is a DFT calculation (meta-GGA SCAN) of a PBEsol-optimized structure of LiTaBr.

Calculated values
**Polymorph energy (0 for the lowest one)**: 0 meV per atom
**Raw total energy**: -28.89 eV per atom

Unit cell a=3.072 b=4.456 c=4.456 alpha=120.00 beta=90.00 gamma=90.00
Sites, in units of the cell vectors:
Ta (0.500, 0.667, 0.333)
Br (0.500, 0.000, 0.000)
Li (0.000, 0.333, 0.667)

***

Entry 20:
The following is a DFT calculation (meta-GGA SCAN) of a PBEsol-optimized structure of Li2TaBr.

Calculated values
**Polymorph energy (0 for the lowest one)**: 0 meV per atom
**Raw total energy**: -22.49 eV per atom

Unit cell a=3.071 b=3.071 c=9.360 alpha=90.00 beta=90.00 gamma=118.98
Sites, in units of the cell vectors:
Ta (0.000, 0.000, 0.480)
Br (0.500, 0.500, 0.245)
Li (0.000, 0.000, 0.026)
Li (0.500, 0.500, 0.748)

***

Entry 21:
The following is a DFT calculation (meta-GGA SCAN) of a PBEsol-optimized structure of Li2TaBr.

Calculated values
**Polymorph energy (0 for the lowest one)**: 86 meV per atom
**Raw total energy**: -22.41 eV per atom

Unit cell a=2.945 b=4.876 c=5.254 alpha=90.00 beta=90.00 gamma=90.00
Sites, in units of the cell vectors:
Ta (0.500, 0.000, 0.485)
Br (0.500, 0.500, 0.325)
Li (0.000, 0.000, 0.972)
Li (0.000, 0.500, 0.719)

***

Entry 22:
The following is a DFT calculation (meta-GGA SCAN) of a PBEsol-optimized structure of Li2TaBr.

Calculated values
**Polymorph energy (0 for the lowest one)**: 757 meV per atom
**Raw total energy**: -21.74 eV per atom

Unit cell a=4.777 b=4.777 c=4.777 alpha=60.00 beta=60.00 gamma=60.00
Last column: magnetic moment on the atom in μB.
Sites, in units of the cell vectors:
Ta (0.500, 0.500, 0.500)  2.22
Br (0.000, 0.000, 0.000)  0.08
Li (0.250, 0.250, 0.250)  0.05
Li (0.750, 0.750, 0.750)  0.05

***

Entry 23:
The following is a DFT calculation (meta-GGA SCAN) of a PBEsol-optimized structure of Li4TcBr.

Calculated values
**Raw total energy**: -10.24 eV per atom

Unit cell a=5.104 b=5.104 c=5.104 alpha=60.00 beta=60.00 gamma=60.00
Last column: magnetic moment on the atom in μB.
Sites, in units of the cell vectors:
Br (0.000, 0.000, 0.000)  0.05
Li (0.377, 0.377, 0.377)  -0.05
Li (0.377, 0.377, 0.869)  -0.05
Li (0.869, 0.377, 0.377)  -0.05
Li (0.377, 0.869, 0.377)  -0.05
Tc (0.750, 0.750, 0.750)  2.39

***

Entry 24:
The following is a DFT calculation (meta-GGA SCAN) of a PBEsol-optimized structure of LiTc3Br.

Calculated values
**Raw total energy**: -23.82 eV per atom

Unit cell a=4.510 b=4.510 c=4.510 alpha=90.00 beta=90.00 gamma=90.00
Last column: magnetic moment on the atom in μB.
Sites, in units of the cell vectors:
Tc (0.000, 0.500, 0.000)  0.78
Tc (0.000, 0.000, 0.500)  0.78
Tc (0.500, 0.000, 0.000)  0.78
Br (0.000, 0.000, 0.000)  -0.04
Li (0.500, 0.500, 0.500)  -0.01

***

Entry 25:
The following is a DFT calculation (meta-GGA SCAN) of a PBEsol-optimized structure of Li2TeBr.

Calculated values
**Polymorph energy (0 for the lowest one)**: 139 meV per atom
**Raw total energy**: -16.40 eV per atom

Unit cell a=3.358 b=6.027 c=6.027 alpha=85.99 beta=73.82 gamma=73.82
Last column: magnetic moment on the atom in μB.
Sites, in units of the cell vectors:
Te (0.500, 0.500, 0.500)  0.15
Br (0.500, 0.000, 0.000)  0.00
Li (0.000, 0.780, 0.220)  0.00
Li (0.000, 0.220, 0.780)  0.00

***

Entry 26:
The following is a DFT calculation (meta-GGA SCAN) of a PBEsol-optimized structure of Li2TeBr.

Calculated values
**Polymorph energy (0 for the lowest one)**: 0 meV per atom
**Raw total energy**: -16.54 eV per atom

Unit cell a=3.607 b=3.607 c=7.564 alpha=75.96 beta=75.96 gamma=61.98
Sites, in units of the cell vectors:
Te (0.500, 0.500, 0.000)
Br (0.000, 0.000, 0.500)
Li (0.261, 0.261, 0.717)
Li (0.739, 0.739, 0.283)

***

Entry 27:
The following is a DFT calculation (meta-GGA SCAN) of a PBEsol-optimized structure of LiTeBr2.

Calculated values
**Polymorph energy (0 for the lowest one)**: 72 meV per atom
**Raw total energy**: -20.15 eV per atom

Unit cell a=3.464 b=3.679 c=8.750 alpha=90.00 beta=90.00 gamma=118.09
Sites, in units of the cell vectors:
Te (0.500, 0.000, 0.000)
Br (0.000, 0.000, 0.707)
Br (0.000, 0.000, 0.293)
Li (0.500, 0.000, 0.500)

***

Entry 28:
The following is a DFT calculation (meta-GGA SCAN) of a PBEsol-optimized structure of LiTeBr2.

Calculated values
**Polymorph energy (0 for the lowest one)**: 27 meV per atom
**Raw total energy**: -20.19 eV per atom

Unit cell a=3.551 b=3.551 c=8.533 alpha=77.99 beta=77.99 gamma=60.00
Sites, in units of the cell vectors:
Te (0.000, 0.000, 0.000)
Br (0.231, 0.231, 0.307)
Br (0.769, 0.769, 0.693)
Li (0.500, 0.500, 0.500)

***

Entry 29:
The following is a DFT calculation (meta-GGA SCAN) of a PBEsol-optimized structure of LiTeBr2.

Calculated values
**Polymorph energy (0 for the lowest one)**: 360 meV per atom
**Raw total energy**: -19.86 eV per atom

Unit cell a=5.246 b=5.244 c=5.246 alpha=59.99 beta=90.00 gamma=120.01
Last column: magnetic moment on the atom in μB.
Sites, in units of the cell vectors:
Te (0.000, 0.000, 0.000)  -0.86
Br (0.250, 0.500, 0.250)  -0.23
Br (0.750, 0.500, 0.750)  -0.23
Li (0.500, 0.000, 0.500)  0.00

***

Entry 30:
The following is a DFT calculation (meta-GGA SCAN) of a PBEsol-optimized structure of LiTeBr2.

Calculated values
**Polymorph energy (0 for the lowest one)**: 97 meV per atom
**Raw total energy**: -20.12 eV per atom

Unit cell a=4.480 b=4.977 c=5.015 alpha=89.67 beta=90.00 gamma=90.00
Sites, in units of the cell vectors:
Te (0.500, 0.500, 0.500)
Br (0.000, 0.243, 0.243)
Br (0.000, 0.757, 0.757)
Li (0.500, 0.000, 0.000)

***

no.,raw formation energy (kJ/mol of formula units)
1,-98
2,7
3,245
4,-132
5,-140
6,-86
7,-184
8,-146
9,-107
10,-39
11,-135
12,-117
13,-165
14,-519
15,-523
16,-187
17,-548
18,292
19,170
20,82
21,115
22,374
23,257
24,766
25,-397
26,-451
27,-195
28,-212
29,-84
30,-186